Entry 1:
La2ZnCoHg (PBE-GGA, relaxed); DFT formation energy = -0.176 eV/atom; raw total energy = -3.884 eV/atom; relative energy among the computed polymorphs = 14.21 kJ/mol of atoms
1.0
5.1851 0.0000 0.0000
0.0000 5.1851 0.0000
0.0000 0.0000 5.0426
La Hg Co Zn
2 1 1 1
direct
0.5000 0.0000 0.0000
0.0000 0.5000 0.0000
0.0000 0.0000 0.5000
0.0000 0.0000 0.0000
0.5000 0.5000 0.5000

---

Entry 2:
La2ZnCoHg (PBE-GGA, relaxed); DFT formation energy = -0.300 eV/atom; raw total energy = -4.007 eV/atom; relative energy among the computed polymorphs = 2.26 kJ/mol of atoms
1.0
-3.9871 -2.7151 -2.0272
2.8701 -1.0420 -4.2492
1.6349 -3.9482 2.0725
Zn Hg Co La
1 1 1 2
direct
0.0000 0.0000 0.5000
0.5000 0.5000 0.5000
0.0000 0.0000 0.0000
0.0000 0.5000 0.0000
0.5000 0.0000 0.0000

---

Entry 3:
La2ZnCoHg (PBE-GGA, relaxed); DFT formation energy = -0.324 eV/atom; raw total energy = -4.031 eV/atom; relative energy among the computed polymorphs = 0.00 kJ/mol of atoms
1.0
-2.5410 -1.7525 3.3893
-0.0147 -6.4072 -3.3241
6.1922 0.6752 4.9916
Zn La Co Hg
2 4 2 2
direct
0.2500 0.5844 0.7111
0.7500 0.4156 0.2889
0.7500 0.8605 0.6530
0.7500 0.7290 0.0531
0.2500 0.1395 0.3470
0.2500 0.2710 0.9469
0.7500 0.0708 0.0617
0.2500 0.9292 0.9383
0.7500 0.3393 0.6512
0.2500 0.6607 0.3488

---

Entry 4:
Li2CoHg (PBE-GGA, relaxed); DFT formation energy = 0.129 eV/atom; raw total energy = -2.680 eV/atom
1.0
-2.6860 -0.8124 0.4816
0.4119 -2.2908 -1.6398
2.3081 -3.9862 6.1484
Li Co Hg
2 1 1
direct
0.0000 0.0000 0.0244
0.0000 0.0000 0.4756
0.5000 0.5000 0.2500
0.5000 0.5000 0.7500

---

Entry 5:
Li2CoHg (PBE-GGA, relaxed); DFT formation energy = 0.174 eV/atom; raw total energy = -2.635 eV/atom
1.0
9.3129 0.0556 0.0326
8.8630 2.8599 0.0326
8.8630 1.4217 2.4817
Hg Li Co
1 2 1
direct
0.7500 0.7500 0.7500
0.9918 0.9918 0.9918
0.5082 0.5082 0.5082
0.2500 0.2500 0.2500

---

Entry 6:
Li2Co2Hg (PBE-GGA, relaxed); DFT formation energy = 0.263 eV/atom; raw total energy = -3.405 eV/atom; relative energy among the computed polymorphs = 9.43 kJ/mol of atoms
1.0
-5.0361 0.2788 -4.6217
-3.1547 -5.2049 3.1236
-1.5075 1.9708 1.7616
Hg Co Li
2 4 4
direct
0.0000 0.0000 0.0000
0.5000 0.5000 0.0000
0.8891 0.6109 0.0000
0.1109 0.3891 0.0000
0.6109 0.1109 0.0000
0.3891 0.8891 0.0000
0.8189 0.3189 0.5000
0.3189 0.1811 0.5000
0.6811 0.8189 0.5000
0.1811 0.6811 0.5000

---

Entry 7:
LiCoHg2 (PBE-GGA, relaxed); DFT formation energy = 0.172 eV/atom; raw total energy = -2.234 eV/atom
1.0
-2.2716 -4.3220 -1.8021
-1.8939 -3.2203 3.6235
-0.3545 5.0934 -1.0095
Li Hg Co
1 2 1
direct
0.5000 0.5000 0.0000
0.2500 0.7500 0.5000
0.0000 0.0000 0.0000
0.7500 0.2500 0.5000

---

Entry 8:
Li2CoHg (PBE-GGA, relaxed); DFT formation energy = 0.113 eV/atom; raw total energy = -2.695 eV/atom
1.0
4.8523 -0.0429 0.0000
-1.7834 4.5128 0.0000
0.0000 0.0000 2.7681
Co Hg Li
1 1 2
direct
0.5000 0.0000 0.5000
0.0000 0.5000 0.5000
0.0000 0.0000 0.0000
0.5000 0.5000 0.0000